VASP calculation (GGA-PBE) on an optimized crystal structure of KEuBiSbO6.

Lattice parameters (Å, degrees): 5.9703 5.9703 5.9703 60.00 60.00 60.00
With the nearest neighbours (Å) after each atom.
Fractional positions:
O 0.7371 0.2629 0.7371  1 Sb 2.00, 1 Bi 2.22
O 0.2629 0.7371 0.2629  1 Sb 2.00, 1 Bi 2.22
O 0.2629 0.2629 0.7371  1 Sb 2.00, 1 Bi 2.22
O 0.7371 0.2629 0.2629  1 Sb 2.00, 1 Bi 2.22
O 0.2629 0.7371 0.7371  1 Sb 2.00, 1 Bi 2.22
O 0.7371 0.7371 0.2629  1 Sb 2.00, 1 Bi 2.22
Eu 0.7500 0.7500 0.7500  12 O 2.99
Sb 0.5000 0.5000 0.5000  6 O 2.00
Bi 0.0000 0.0000 0.0000  6 O 2.22
K 0.2500 0.2500 0.2500  12 O 2.99

Uncorrected formation energy ... -16.59 eV per formula unit
Calculated density ... 6.817 g/cm³